(1)
Density functional theory data (PBE) for NaRu after structural relaxation.

Spin magnetization   0.0 μB/cell
E_form   1.31 eV per formula unit
Final energy   -4.643 eV/atom
Crystal system   orthorhombic

Lattice parameters (Å, degrees): 2.718 13.145 5.641 90.00 90.00 90.00
Atoms (fractional coordinates):
Na 0.250 0.085 0.075
Na 0.250 0.415 0.075
Na 0.250 0.750 0.759
Na 0.750 0.250 0.241
Na 0.750 0.585 0.925
Na 0.750 0.915 0.925
Ru 0.250 0.250 0.702
Ru 0.250 0.584 0.419
Ru 0.250 0.916 0.419
Ru 0.750 0.084 0.581
Ru 0.750 0.416 0.581
Ru 0.750 0.750 0.298

---

(2)
Density functional theory data (PBE) for La2SmPu after structural relaxation.

Spin magnetization   6.4 μB/cell
E_form   0.50 eV per formula unit
Energy relative to the lowest polymorph listed for this composition   13.7 meV/atom
Final energy   -7.102 eV/atom
Crystal system   trigonal

Lattice parameters (Å, degrees): 11.920 11.920 11.920 17.60 17.60 17.60
Atoms (fractional coordinates):
La 0.000 0.000 0.000
La 0.172 0.172 0.172
Sm 0.753 0.753 0.753
Pu 0.585 0.585 0.585

---

(3)
Density functional theory data (PBE) for Cu3MoPd after structural relaxation.

Spin magnetization   4.3 μB/cell
E_form   6.57 eV per formula unit
Energy relative to the lowest polymorph listed for this composition   0.0 meV/atom
Final energy   -4.349 eV/atom
Crystal system   cubic

Lattice parameters (Å, degrees): 4.599 4.599 4.599 90.00 90.00 90.00
Atoms (fractional coordinates):
Cu 0.000 0.000 0.500
Cu 0.000 0.500 0.000
Cu 0.500 0.000 0.000
Mo 0.500 0.500 0.500
Pd 0.000 0.000 0.000

---

(4)
Density functional theory data (PBE) for CeY2Ho9 after structural relaxation.

Spin magnetization   1.0 μB/cell
E_form   0.45 eV per formula unit
Final energy   -4.967 eV/atom
Crystal system   tetragonal

Lattice parameters (Å, degrees): 4.999 4.999 14.987 90.00 90.00 90.00
Atoms (fractional coordinates):
Ce 0.000 0.000 0.000
Y 0.000 0.000 0.332
Y 0.000 0.000 0.668
Ho 0.000 0.500 0.165
Ho 0.000 0.500 0.500
Ho 0.000 0.500 0.835
Ho 0.500 0.000 0.165
Ho 0.500 0.000 0.500
Ho 0.500 0.000 0.835
Ho 0.500 0.500 0.000
Ho 0.500 0.500 0.335
Ho 0.500 0.500 0.665

---

(5)
Density functional theory data (PBE) for Ac5La2Tb4 after structural relaxation.

Spin magnetization   0.0 μB/cell
E_form   1.37 eV per formula unit
Final energy   -4.322 eV/atom
Crystal system   monoclinic

Lattice parameters (Å, degrees): 12.903 12.903 9.062 95.82 95.82 16.85
Atoms (fractional coordinates):
Ac 0.000 0.000 0.000
Ac 0.317 0.317 0.526
Ac 0.366 0.366 0.952
Ac 0.634 0.634 0.048
Ac 0.683 0.683 0.474
La 0.086 0.086 0.688
La 0.914 0.914 0.312
Tb 0.226 0.226 0.829
Tb 0.462 0.462 0.653
Tb 0.538 0.538 0.347
Tb 0.774 0.774 0.171

---

(6)
Density functional theory data (PBE) for K2ScBr after structural relaxation.

Spin magnetization   1.1 μB/cell
Energy relative to the lowest polymorph listed for this composition   127.4 meV/atom
Final energy   -2.786 eV/atom
Crystal system   tetragonal
Formation energy without anion corrections   -236 meV/atom

Lattice parameters (Å, degrees): 3.662 3.662 11.302 90.00 90.00 90.00
Atoms (fractional coordinates):
K 0.000 0.000 0.000
K 0.500 0.500 0.354
Sc 0.000 0.000 0.632
Br 0.500 0.500 0.780

---

(7)
Density functional theory data (PBE) for HoMgCd14 after structural relaxation.

Spin magnetization   0.0 μB/cell
E_form   -1.10 eV per formula unit
Final energy   -1.255 eV/atom
Crystal system   tetragonal

Lattice parameters (Å, degrees): 6.514 6.514 8.604 90.00 90.00 90.00
Atoms (fractional coordinates):
Ho 0.000 0.000 0.000
Mg 0.500 0.500 0.000
Cd 0.000 0.000 0.500
Cd 0.000 0.500 0.000
Cd 0.000 0.500 0.500
Cd 0.253 0.253 0.253
Cd 0.253 0.253 0.747
Cd 0.253 0.747 0.253
Cd 0.253 0.747 0.747
Cd 0.500 0.000 0.000
Cd 0.500 0.000 0.500
Cd 0.500 0.500 0.500
Cd 0.747 0.253 0.253
Cd 0.747 0.253 0.747
Cd 0.747 0.747 0.253
Cd 0.747 0.747 0.747

---

(8)
Density functional theory data (PBE) for TlCdF3 after structural relaxation.

Spin magnetization   0.0 μB/cell
Final energy   -3.815 eV/atom
Crystal system   monoclinic
Formation energy without anion corrections   -2036 meV/atom

Lattice parameters (Å, degrees): 7.656 5.998 8.229 90.00 98.57 90.00
Atoms (fractional coordinates):
Tl 0.109 0.243 0.163
Tl 0.109 0.257 0.663
Tl 0.891 0.743 0.337
Tl 0.891 0.757 0.837
Cd 0.418 0.744 0.576
Cd 0.418 0.756 0.076
Cd 0.582 0.244 0.924
Cd 0.582 0.256 0.424
F 0.145 0.655 0.089
F 0.145 0.845 0.589
F 0.319 0.083 0.949
F 0.319 0.417 0.449
F 0.445 0.572 0.831
F 0.445 0.928 0.331
F 0.555 0.072 0.669
F 0.555 0.428 0.169
F 0.681 0.583 0.551
F 0.681 0.917 0.051
F 0.855 0.155 0.411
F 0.855 0.345 0.911